1.
# Cs4NdNp3O12

Crystalline Cs4NdNp3O12 at its relaxed geometry (PBE, Alexandria).

a = 7.676 Å, b = 7.676 Å, c = 7.676 Å
α = 109.47°, β = 109.47°, γ = 109.47°
Positions (direct):
O: 0.500 0.250 0.750
O: 0.250 0.500 0.750
O: 0.500 0.750 0.250
O: 0.273 0.000 0.273
O: 0.000 0.727 0.727
O: 0.727 0.000 0.727
O: 0.250 0.750 0.500
O: 0.727 0.727 0.000
O: 0.273 0.273 0.000
O: 0.750 0.500 0.250
O: 0.000 0.273 0.273
O: 0.750 0.250 0.500
Cs: 0.500 0.000 0.000
Cs: 0.000 0.500 0.000
Cs: 0.000 0.000 0.500
Cs: 0.500 0.500 0.500
Np: 0.500 0.500 0.000
Np: 0.000 0.500 0.500
Np: 0.500 0.000 0.500
Nd: 0.000 0.000 0.000

Properties
* calculated volume: 17.41 Å³ per atom
* formation energy from raw total energies: -2.6128 eV per atom
* ρ: 7.529 g/cm³
* crystal system: cubic
* size of the total moment: 4.000 Bohr magnetons per cell

---

2.
# Sr2Sn3Ge

Crystalline Sr2Sn3Ge at its relaxed geometry (PBE, Alexandria).

a = 4.628 Å, b = 4.470 Å, c = 9.321 Å
α = 90.00°, β = 90.00°, γ = 90.00°
Positions (direct):
Sr: 0.000 0.000 0.480
Sr: 0.000 0.500 0.009
Sn: 0.500 0.000 0.173
Sn: 0.500 0.000 0.842
Sn: 0.500 0.500 0.649
Ge: 0.500 0.500 0.346

Properties
* calculated volume: 32.14 Å³ per atom
* formation energy from the elements: -0.434 eV/atom
* ρ: 5.202 g/cm³
* crystal system: orthorhombic
* ΔE to the lowest computed polymorph: 0 meV/atom
* size of the total moment: 0.000 Bohr magnetons per cell

---

3.
# VAs2Os

Crystalline VAs2Os at its relaxed geometry (PBE, Alexandria).

a = 4.341 Å, b = 4.341 Å, c = 4.341 Å
α = 60.00°, β = 60.00°, γ = 60.00°
Positions (direct):
Os: 0.500 0.500 0.500
V: 0.000 0.000 0.000
As: 0.750 0.750 0.750
As: 0.250 0.250 0.250

Properties
* calculated volume: 14.46 Å³ per atom
* formation energy from the elements: 0.076 eV/atom
* ρ: 11.222 g/cm³
* crystal system: cubic
* ΔE to the lowest computed polymorph: 0 meV/atom
* size of the total moment: 0.001 Bohr magnetons per cell

---

- The lowest ρ belongs to which entry?
  Sr2Sn3Ge